Density functional theory data (PBE) for La4Dy2H after structural relaxation.

Unit cell a=9.463 b=9.463 c=9.463 alpha=149.03 beta=149.03 gamma=44.37
Fractional coordinates of all 7 atoms:
La (0.000, 0.500, 0.500)
La (0.158, 0.158, 0.000)
La (0.500, 0.000, 0.500)
La (0.842, 0.842, 0.000)
Dy (0.362, 0.362, 0.000)
Dy (0.638, 0.638, 0.000)
H (0.000, 0.000, 0.000)

Spin magnetization, Bohr magnetons per cell: 0.000
Uncorrected energy, eV per formula unit: -31.75